Entry 1:
Material: BaZrTiRu2
Method: DFT, PBE
State: optimized geometry

```
BaZrTiRu2
1.0
4.8034 0.0000 0.0000
0.0000 5.0088 0.0000
0.0000 0.0000 4.8034
Ru Zr Ba Ti
2 1 1 1
direct
0.0000 0.0000 0.5000
0.5000 0.0000 0.0000
0.0000 0.5000 0.0000
0.5000 0.5000 0.5000
0.0000 0.0000 0.0000
```

Computed properties:
VASP energy = -6.660 eV/atom
Fermi-level density of states = 1.8028 states/eV/atom
energy relative to the elements = 0.72 eV per atom

=====

Entry 2:
Material: BaTlRu2
Method: DFT, PBE
State: optimized geometry

```
BaTlRu2
1.0
-2.7807 -2.4281 0.3854
2.0150 -2.3094 -0.0119
2.6906 -1.8070 8.0292
Ru Tl Ba
2 1 1
direct
0.0000 0.9218 0.0809
0.5000 0.2999 0.2012
0.0000 0.5602 0.4385
0.5000 0.7180 0.7794
```

Computed properties:
VASP energy = -5.320 eV/atom
Fermi-level density of states = 0.9131 states/eV/atom
energy relative to the elements = 0.39 eV per atom